Entry 1:
VASP calculation (GGA-PBE) on a relaxed LuPd2Pb crystal.

Geometry as POSCAR:
```
LuPd2Pb
1.0
3.756 0.000 0.000
0.000 4.637 0.000
0.000 0.000 4.637
Pb Pd Lu
1 2 1
direct
0.500 0.000 0.000 Pb
0.000 0.000 0.500 Pd
0.000 0.500 0.000 Pd
0.500 0.500 0.500 Lu
```

Computed properties:
Total magnetization in μB per cell: 0.00
SG: P4/mmm
Total energy in eV/cell: -21.09
ΔE_f in eV/atom: -0.618

---

Entry 2:
VASP calculation (GGA-PBE) on a relaxed PrLuPdPb crystal.

Geometry as POSCAR:
```
PrLuPdPb
1.0
-3.106 1.248 4.074
-3.020 -3.695 2.241
1.150 -1.771 4.831
Pd Pb Pr Lu
1 1 1 1
direct
0.000 0.000 0.000 Pd
0.500 0.500 0.500 Pb
0.250 0.250 0.250 Pr
0.750 0.750 0.750 Lu
```

Computed properties:
Total magnetization in μB per cell: 0.00
SG: F-43m
Total energy in eV/cell: -20.47
ΔE_f in eV/atom: -0.566

---

Entry 3:
VASP calculation (GGA-PBE) on a relaxed LuPdPtPb crystal.

Geometry as POSCAR:
```
LuPdPtPb
1.0
-0.692 3.986 2.641
1.411 0.113 4.619
3.774 2.718 1.307
Pb Pt Lu Pd
1 1 1 1
direct
0.500 0.500 0.500 Pb
0.750 0.750 0.750 Pt
0.000 0.000 0.000 Lu
0.250 0.250 0.250 Pd
```

Computed properties:
Total magnetization in μB per cell: 0.00
SG: F-43m
Total energy in eV/cell: -22.44
ΔE_f in eV/atom: -0.745

---

Entry 4:
VASP calculation (GGA-PBE) on a relaxed LuPdRhPb crystal.

Geometry as POSCAR:
```
LuPdRhPb
1.0
-4.362 1.853 -0.459
-2.445 -0.638 -4.036
-3.808 -2.858 -0.050
Lu Pd Pb Rh
1 1 1 1
direct
0.250 0.250 0.250 Lu
0.000 0.000 0.000 Pd
0.750 0.750 0.750 Pb
0.500 0.500 0.500 Rh
```

Computed properties:
Total magnetization in μB per cell: 0.00
SG: F-43m
Total energy in eV/cell: -23.27
ΔE_f in eV/atom: -0.624

---

Entry 5:
VASP calculation (GGA-PBE) on a relaxed LuPdRuPb crystal.

Geometry as POSCAR:
```
LuPdRuPb
1.0
-0.249 -2.359 -4.113
3.618 -2.745 -1.385
-0.470 -4.725 -0.002
Pb Ru Pd Lu
1 1 1 1
direct
0.500 0.500 0.500 Pb
0.250 0.250 0.250 Ru
0.750 0.750 0.750 Pd
0.000 0.000 0.000 Lu
```

Computed properties:
Total magnetization in μB per cell: 0.00
SG: F-43m
Total energy in eV/cell: -24.13
ΔE_f in eV/atom: -0.358

---

Entry 6:
VASP calculation (GGA-PBE) on a relaxed SmLuPdPb crystal.

Geometry as POSCAR:
```
SmLuPdPb
1.0
-2.820 1.682 4.055
-5.193 -0.502 -0.046
-2.317 -3.435 3.171
Pd Pb Lu Sm
1 1 1 1
direct
0.250 0.250 0.250 Pd
0.750 0.750 0.750 Pb
0.500 0.500 0.500 Lu
0.000 0.000 0.000 Sm
```

Computed properties:
Total magnetization in μB per cell: 0.00
SG: F-43m
Total energy in eV/cell: -20.51
ΔE_f in eV/atom: -0.592

---

Entry 7:
VASP calculation (GGA-PBE) on a relaxed TbLuPdPb crystal.

Geometry as POSCAR:
```
TbLuPdPb
1.0
-2.707 -0.273 -4.402
-3.077 -4.063 -0.897
-5.142 0.580 0.084
Pb Lu Pd Tb
1 1 1 1
direct
0.500 0.500 0.500 Pb
0.750 0.750 0.750 Lu
0.000 0.000 0.000 Pd
0.250 0.250 0.250 Tb
```

Computed properties:
Total magnetization in μB per cell: 0.00
SG: F-43m
Total energy in eV/cell: -20.49
ΔE_f in eV/atom: -0.609

---

Entry 8:
VASP calculation (GGA-PBE) on a relaxed LuThPdPb crystal.

Geometry as POSCAR:
```
LuThPdPb
1.0
5.264 0.000 0.000
2.632 4.558 0.000
2.632 1.519 4.298
Pb Lu Th Pd
1 1 1 1
direct
0.500 0.500 0.500 Pb
0.750 0.750 0.750 Lu
0.250 0.250 0.250 Th
0.000 0.000 0.000 Pd
```

Computed properties:
Total magnetization in μB per cell: 0.70
SG: F-43m
Total energy in eV/cell: -22.51
ΔE_f in eV/atom: -0.417

---

Entry 9:
VASP calculation (GGA-PBE) on a relaxed LuTiPdPb crystal.

Geometry as POSCAR:
```
LuTiPdPb
1.0
4.916 0.000 0.000
2.458 4.257 0.000
2.458 1.419 4.014
Pd Ti Lu Pb
1 1 1 1
direct
0.250 0.250 0.250 Pd
0.500 0.500 0.500 Ti
0.000 0.000 0.000 Lu
0.750 0.750 0.750 Pb
```

Computed properties:
Total magnetization in μB per cell: 1.38
SG: F-43m
Total energy in eV/cell: -22.63
ΔE_f in eV/atom: -0.327

---

Entry 10:
VASP calculation (GGA-PBE) on a relaxed Pm2LuPb crystal.

Geometry as POSCAR:
```
Pm2LuPb
1.0
-2.982 4.648 0.539
-3.717 1.378 -3.882
-5.425 -0.299 1.123
Pb Pm Lu
1 2 1
direct
0.500 0.500 0.500 Pb
0.250 0.250 0.250 Pm
0.750 0.750 0.750 Pm
0.000 0.000 0.000 Lu
```

Computed properties:
Total magnetization in μB per cell: 0.00
SG: Fm-3m
Total energy in eV/cell: -18.31
ΔE_f in eV/atom: -0.145

---

Entry 11:
VASP calculation (GGA-PBE) on a relaxed PmLuPb crystal.

Geometry as POSCAR:
```
PmLuPb
1.0
3.956 0.000 0.000
0.000 5.194 0.000
0.000 -2.597 4.498
Pb Pm Lu
1 1 1
direct
0.136 0.000 0.000 Pb
0.676 0.333 0.667 Pm
0.188 0.667 0.333 Lu
```

Computed properties:
Total magnetization in μB per cell: 0.00
SG: P3m1
Total energy in eV/cell: -13.65
ΔE_f in eV/atom: -0.225

---

Entry 12:
VASP calculation (GGA-PBE) on a relaxed Pm2LuPb crystal.

Geometry as POSCAR:
```
Pm2LuPb
1.0
4.955 0.000 0.000
0.000 4.880 0.000
0.000 0.000 4.880
Pb Lu Pm
1 1 2
direct
0.500 0.000 0.000 Pb
0.500 0.500 0.500 Lu
0.000 0.500 0.000 Pm
0.000 0.000 0.500 Pm
```

Computed properties:
Total magnetization in μB per cell: 0.00
SG: P4/mmm
Total energy in eV/cell: -18.90
ΔE_f in eV/atom: -0.292

---

Entry 13:
VASP calculation (GGA-PBE) on a relaxed Pm2LuPb crystal.

Geometry as POSCAR:
```
Pm2LuPb
1.0
-0.564 -3.519 0.083
2.719 -2.227 0.595
-1.390 -1.293 12.193
Pb Lu Pm
1 1 2
direct
0.000 0.000 0.000 Pb
0.500 0.500 0.500 Lu
0.911 0.911 0.267 Pm
0.089 0.089 0.733 Pm
```

Computed properties:
Total magnetization in μB per cell: 0.00
SG: R-3m
Total energy in eV/cell: -17.58
ΔE_f in eV/atom: 0.038

---

Entry 14:
VASP calculation (GGA-PBE) on a relaxed PmLuPb crystal.

Geometry as POSCAR:
```
PmLuPb
1.0
3.615 0.000 0.000
0.000 3.615 0.000
-1.807 -1.807 6.935
Pm Lu Pb
1 1 1
direct
0.622 0.622 0.243 Pm
0.941 0.941 0.883 Lu
0.287 0.287 0.574 Pb
```

Computed properties:
Total magnetization in μB per cell: 0.00
SG: I4mm
Total energy in eV/cell: -13.83
ΔE_f in eV/atom: -0.284

---

Entry 15:
VASP calculation (GGA-PBE) on a relaxed PmLuPb crystal.

Geometry as POSCAR:
```
PmLuPb
1.0
-2.176 -4.471 1.535
0.439 -4.258 -2.959
3.002 -3.954 1.560
Pb Pm Lu
1 1 1
direct
0.250 0.250 0.250 Pb
0.500 0.500 0.500 Pm
0.000 0.000 0.000 Lu
```

Computed properties:
Total magnetization in μB per cell: 0.00
SG: F-43m
Total energy in eV/cell: -13.48
ΔE_f in eV/atom: -0.168

---

Entry 16:
VASP calculation (GGA-PBE) on a relaxed PmPrLuPb crystal.

Geometry as POSCAR:
```
PmPrLuPb
1.0
-1.300 5.398 -0.575
-2.890 1.715 -4.457
-5.293 1.673 0.581
Lu Pb Pr Pm
1 1 1 1
direct
0.500 0.500 0.500 Lu
0.000 0.000 0.000 Pb
0.250 0.250 0.250 Pr
0.750 0.750 0.750 Pm
```

Computed properties:
Total magnetization in μB per cell: 0.00
SG: F-43m
Total energy in eV/cell: -18.35
ΔE_f in eV/atom: -0.149

---

Entry 17:
VASP calculation (GGA-PBE) on a relaxed PmLuPtPb crystal.

Geometry as POSCAR:
```
PmLuPtPb
1.0
-4.851 1.067 1.573
-3.473 -3.848 0.527
-1.578 -1.453 4.748
Pb Pt Pm Lu
1 1 1 1
direct
0.250 0.250 0.250 Pb
0.750 0.750 0.750 Pt
0.000 0.000 0.000 Pm
0.500 0.500 0.500 Lu
```

Computed properties:
Total magnetization in μB per cell: 0.00
SG: F-43m
Total energy in eV/cell: -21.83
ΔE_f in eV/atom: -0.703

---

Entry 18:
VASP calculation (GGA-PBE) on a relaxed PmLuPuPb crystal.

Geometry as POSCAR:
```
PmLuPuPb
1.0
-1.256 -3.559 3.927
3.874 -3.174 2.140
1.712 0.854 5.100
Pm Pu Lu Pb
1 1 1 1
direct
0.500 0.500 0.500 Pm
0.750 0.750 0.750 Pu
0.000 0.000 0.000 Lu
0.250 0.250 0.250 Pb
```

Computed properties:
Total magnetization in μB per cell: 6.74
SG: F-43m
Total energy in eV/cell: -27.36
ΔE_f in eV/atom: -0.012

---

Entry 19:
VASP calculation (GGA-PBE) on a relaxed PmLuRhPb crystal.

Geometry as POSCAR:
```
PmLuRhPb
1.0
-1.975 -1.503 -4.532
-4.219 -2.982 -0.119
-4.498 1.951 -1.633
Pm Pb Lu Rh
1 1 1 1
direct
0.000 0.000 0.000 Pm
0.250 0.250 0.250 Pb
0.500 0.500 0.500 Lu
0.750 0.750 0.750 Rh
```

Computed properties:
Total magnetization in μB per cell: 0.00
SG: F-43m
Total energy in eV/cell: -22.25
ΔE_f in eV/atom: -0.480

---

Entry 20:
VASP calculation (GGA-PBE) on a relaxed PmLuRuPb crystal.

Geometry as POSCAR:
```
PmLuRuPb
1.0
-4.541 2.399 0.141
-4.098 -2.124 -2.255
-3.818 -1.894 2.870
Lu Ru Pm Pb
1 1 1 1
direct
0.000 0.000 0.000 Lu
0.750 0.750 0.750 Ru
0.500 0.500 0.500 Pm
0.250 0.250 0.250 Pb
```

Computed properties:
Total magnetization in μB per cell: 0.00
SG: F-43m
Total energy in eV/cell: -23.16
ΔE_f in eV/atom: -0.225

---

In Å³/f.u., the volume values for the records above are, in order, 80.8, 103.6, 79.7, 76.4, 75.7, 100.4, 98.0, 103.1, 84.0, 120.8, 92.4, 118.0, 133.9, 90.6, 99.6, 123.0, 100.0, 114.3, 97.6, 95.9.